DFT (GGA-PBE) results for a relaxed Sn2SbCl crystal.

Its crystal system is trigonal. Its raw formation energy is -1.13 eV/f.u.

The structure belongs to space group R3m (No. 160, hexagonal axes); the cell edges are 4.4128, 4.4128 and 23.0450 Å and the angles 90.00°, 90.00° and 120.00°. The distinct sites, in fractional coordinates, are Sn at (0.0000, 0.0000, 0.0000), Sn at (0.0000, 0.0000, 0.1837), Sb at (0.0000, 0.0000, 0.5862) and Cl at (0.0000, 0.0000, 0.3977).



DFT (GGA-PBE) results for a relaxed YAs2W crystal.

Its crystal system is orthorhombic. The formation energy comes out at 0.127 eV/atom.

The structure belongs to space group Cmm2 (No. 35); the cell edges are 3.6799, 4.8115 and 10.1488 Å and the angles 90.00°, 90.00° and 90.00°. The distinct sites, in fractional coordinates, are Y at (0.0000, 0.0000, 0.0000), As at (0.0000, 0.0000, 0.4165), As at (0.0000, 0.5000, 0.7763) and W at (0.0000, 0.5000, 0.2392).



DFT (GGA-PBE) results for a relaxed TlZn2Fe crystal.

Its crystal system is orthorhombic. The formation energy comes out at 0.334 eV/atom.

The structure belongs to space group Pmm2 (No. 25); the cell edges are 3.0491, 4.2307 and 5.3472 Å and the angles 90.00°, 90.00° and 90.00°. The distinct sites, in fractional coordinates, are Tl at (0.0000, 0.0000, 0.0000), Zn at (0.0000, 0.5000, 0.6121), Zn at (0.5000, 0.0000, 0.4967) and Fe at (0.5000, 0.5000, 0.2106).